Record 1
An optimized crystal structure of Tm2Si2S7, computed with PBE-GGA.

Lattice parameters (Å, degrees): 5.8546 6.8997 6.8997 102.49 97.57 97.57
With the nearest neighbours (Å) after each atom.
Element x y z (fractional)
Tm (0.5000, 0.3046, 0.6954)  6 S 2.67-2.78
Tm (0.5000, 0.6954, 0.3046)  6 S 2.67-2.78
Si (0.0912, 0.7739, 0.7739)  4 S 2.13
Si (0.9088, 0.2261, 0.2261)  4 S 2.13
S (0.2798, 0.5861, 0.9193)  1 Si 2.13
S (0.7202, 0.0807, 0.4139)  1 Si 2.13
S (0.7202, 0.4139, 0.0807)  1 Si 2.13
S (0.2798, 0.9193, 0.5861)  1 Si 2.13
S (0.2279, 0.3980, 0.3980)  1 Si 2.13
S (0.0000, 0.0000, 0.0000)  2 Si 2.13
S (0.7721, 0.6020, 0.6020)  1 Si 2.13

Computed properties:
uncorrected energy: -5.565 eV/atom



Record 2
An optimized crystal structure of Tm2SiS4, computed with PBE-GGA.

Lattice parameters (Å, degrees): 5.9978 5.9978 7.2172 114.55 114.55 90.00
With the nearest neighbours (Å) after each atom.
Element x y z (fractional)
Tm (0.7500, 0.2500, 0.5000)  4 S 2.58
Tm (0.2500, 0.7500, 0.5000)  4 S 2.58
Si (0.5000, 0.5000, 0.0000)  4 S 2.48
S (0.8616, 0.3860, 0.2477)  1 Si 2.48, 2 Tm 2.58
S (0.3860, 0.8616, 0.2477)  1 Si 2.48, 2 Tm 2.58
S (0.6140, 0.6140, 0.7523)  1 Si 2.48, 2 Tm 2.58
S (0.1384, 0.1384, 0.7523)  1 Si 2.48, 2 Tm 2.58

Computed properties:
uncorrected energy: -5.530 eV/atom



Record 3
An optimized crystal structure of Tm5Si2S2, computed with PBE-GGA.

Lattice parameters (Å, degrees): 7.4012 7.2969 7.8914 117.54 90.00 90.00
With the nearest neighbours (Å) after each atom.
Element x y z (fractional)
Tm (0.0000, 0.0000, 0.0000)  2 S 2.77, 4 Si 2.88-2.91
Tm (0.5000, 0.5000, 0.0000)  2 S 2.77, 4 Si 2.88-2.91
Tm (0.8377, 0.8078, 0.2769)  3 S 2.82-2.91, 3 Si 2.90-2.91
Tm (0.1623, 0.4692, 0.2769)  3 S 2.82-2.91, 3 Si 2.90-2.91
Tm (0.3377, 0.9692, 0.2769)  3 S 2.82-2.91, 3 Si 2.90-2.91
Tm (0.6623, 0.3078, 0.2769)  3 S 2.82-2.91, 3 Si 2.90-2.91
Tm (0.1623, 0.1922, 0.7231)  3 S 2.82-2.91, 3 Si 2.90-2.91
Tm (0.8377, 0.5308, 0.7231)  3 S 2.82-2.91, 3 Si 2.90-2.91
Tm (0.6623, 0.0308, 0.7231)  3 S 2.82-2.91, 3 Si 2.90-2.91
Tm (0.3377, 0.6922, 0.7231)  3 S 2.82-2.91, 3 Si 2.90-2.91
Si (0.6272, 0.8734, 0.0000)  1 Si 2.64, 8 Tm 2.88-2.91
Si (0.3728, 0.1266, 0.0000)  1 Si 2.64, 8 Tm 2.88-2.91
Si (0.1272, 0.6266, 0.0000)  1 Si 2.64, 8 Tm 2.88-2.91
Si (0.8728, 0.3734, 0.0000)  1 Si 2.64, 8 Tm 2.88-2.91
S (0.0000, 0.1978, 0.3955)  7 Tm 2.77-2.91
S (0.5000, 0.6978, 0.3955)  7 Tm 2.77-2.91
S (0.0000, 0.8022, 0.6045)  7 Tm 2.77-2.91
S (0.5000, 0.3022, 0.6045)  7 Tm 2.77-2.91

Computed properties:
uncorrected energy: -5.767 eV/atom